DFT (GGA-PBE) results for a relaxed structure of GdZrPbAu.

* DFT formation energy: -1.51 eV per formula unit

a = 7.2925 Å, b = 7.2925 Å, c = 7.2925 Å
α = 90.00°, β = 90.00°, γ = 90.00°
Closest atoms and distances in Å follow each position.
Space group F-43m (No. 216)
One atom of each set of equivalent atoms:
1 Gd 0.0000 0.0000 0.0000 (multiplicity 4)  4 Pb 3.16, 4 Au 3.16
2 Zr 0.0000 0.0000 0.5000 (multiplicity 4)  4 Au 3.16, 4 Pb 3.16
3 Pb 0.2500 0.2500 0.7500 (multiplicity 4)  4 Zr 3.16, 4 Gd 3.16
4 Au 0.2500 0.2500 0.2500 (multiplicity 4)  4 Gd 3.16, 4 Zr 3.16